# Ta2OsRu, optimized geometry, DFT PBE-GGA
data_Ta2OsRu
_cell_length_a 6.115
_cell_length_b 6.905
_cell_length_c 3.059
_cell_angle_alpha 90.00
_cell_angle_beta 90.00
_cell_angle_gamma 90.00
_space_group_name_H-M_alt 'C m m m'
_space_group_IT_number 65
_space_group_name_Hall '-C 2 2'
loop_
_atom_site_label
_atom_site_type_symbol
_atom_site_fract_x
_atom_site_fract_y
_atom_site_fract_z
Ta1 Ta 0.250 0.250 0.000
Os1 Os 0.000 0.000 0.500
Ru1 Ru 0.000 0.500 0.500
# - Uncorrected energy: -90.82 eV for the cell shown
# - ΔE to the lowest computed polymorph: 7.5 kJ/mol of formula units
# - Energy of formation: -0.299 eV per atom
# - V: 64.6 Å³/f.u.
# - DOS at the Fermi energy: 7.214 states/eV per cell